No. 1
Ce3RhN: optimized geometry, PBE.

Properties
* Fermi-level density of states: 12.667 states/eV/f.u.
* SG: C2/m
* uncorrected energy: -74.4 eV for the cell shown

a b c (Å): 7.183 7.183 9.328
angles (deg): 95.52 95.52 31.52
Atoms (fractional coordinates):
Ce  0.037  0.037  0.326
Ce  0.234  0.234  0.658
Ce  0.357  0.357  0.041
Ce  0.643  0.643  0.959
Ce  0.766  0.766  0.342
Ce  0.963  0.963  0.674
Rh  0.405  0.405  0.416
Rh  0.595  0.595  0.584
N  0.213  0.213  0.893
N  0.787  0.787  0.107


No. 2
Mn3BiW: optimized geometry, PBE.

Properties
* formation energy: 1291 kJ/mol of formula units
* Fermi-level density of states: 4.484 states/eV/f.u.
* relative energy among the computed polymorphs: 7.50 eV per formula unit
* SG: Pm-3m
* uncorrected energy: -31.0 eV for the cell shown

a b c (Å): 4.590 4.590 4.590
angles (deg): 90.00 90.00 90.00
Atoms (fractional coordinates):
Mn  0.000  0.000  0.500
Mn  0.000  0.500  0.000
Mn  0.500  0.000  0.000
Bi  0.000  0.000  0.000
W  0.500  0.500  0.500


No. 3
Al2CdCo: optimized geometry, PBE.

Properties
* formation energy: 38 kJ/mol of formula units
* Fermi-level density of states: 2.740 states/eV/f.u.
* SG: Cmmm
* uncorrected energy: -15.1 eV for the cell shown

a b c (Å): 4.637 4.637 2.942
angles (deg): 90.00 90.00 105.77
Atoms (fractional coordinates):
Al  0.000  0.500  0.000
Al  0.500  0.000  0.000
Cd  0.000  0.000  0.500
Co  0.500  0.500  0.500


No. 4
Pm6Nd3Pu: optimized geometry, PBE.

Properties
* formation energy: 226 kJ/mol of formula units
* Fermi-level density of states: 20.063 states/eV/f.u.
* SG: R3
* uncorrected energy: -54.8 eV for the cell shown

a b c (Å): 7.004 7.004 7.004
angles (deg): 91.02 91.02 91.02
Atoms (fractional coordinates):
Pm  0.000  0.316  0.684
Pm  0.172  0.828  0.500
Pm  0.316  0.684  0.000
Pm  0.500  0.172  0.828
Pm  0.684  0.000  0.316
Pm  0.828  0.500  0.172
Nd  0.240  0.240  0.240
Nd  0.499  0.499  0.499
Nd  0.758  0.758  0.758
Pu  0.999  0.999  0.999


No. 5
ZnCdIr4: optimized geometry, PBE.

Properties
* formation energy: 174 kJ/mol of formula units
* Fermi-level density of states: 6.584 states/eV/f.u.
* SG: F-43m
* uncorrected energy: -35.8 eV for the cell shown

a b c (Å): 5.224 5.224 5.224
angles (deg): 60.00 60.00 60.00
Atoms (fractional coordinates):
Zn  0.000  0.000  0.000
Cd  0.750  0.750  0.750
Ir  0.375  0.375  0.375
Ir  0.375  0.375  0.876
Ir  0.375  0.876  0.375
Ir  0.876  0.375  0.375


No. 6
CePm2PrAs4: optimized geometry, PBE.

Properties
* formation energy: -1157 kJ/mol of formula units
* Fermi-level density of states: 6.479 states/eV/f.u.
* SG: P2/m
* uncorrected energy: -50.8 eV for the cell shown

a b c (Å): 7.358 4.250 7.362
angles (deg): 90.00 109.43 90.00
Atoms (fractional coordinates):
Ce  0.000  0.000  0.000
Pm  0.500  0.000  0.500
Pm  0.500  0.500  0.000
Pr  0.000  0.500  0.500
As  0.249  0.500  0.246
As  0.251  0.000  0.755
As  0.749  0.000  0.245
As  0.751  0.500  0.754


No. 7
ZnRuCl2: optimized geometry, PBE.

Properties
* Fermi-level density of states: 3.093 states/eV/f.u.
* relative energy among the computed polymorphs: 3.23 eV per formula unit
* SG: P4/mmm
* uncorrected energy: -12.1 eV for the cell shown

a b c (Å): 4.814 4.814 3.145
angles (deg): 90.00 90.00 90.00
Atoms (fractional coordinates):
Zn  0.000  0.000  0.000
Ru  0.500  0.500  0.000
Cl  0.000  0.500  0.500
Cl  0.500  0.000  0.500


No. 8
ErTm6In3: optimized geometry, PBE.

Properties
* formation energy: -110 kJ/mol of formula units
* Fermi-level density of states: 12.478 states/eV/f.u.
* SG: Cmc2_1
* uncorrected energy: -81.5 eV for the cell shown

a b c (Å): 9.191 9.191 7.557
angles (deg): 90.00 90.00 111.28
Atoms (fractional coordinates):
Er  0.205  0.795  0.500
Er  0.795  0.205  0.000
Tm  0.046  0.954  0.212
Tm  0.076  0.449  0.714
Tm  0.234  0.300  0.024
Tm  0.300  0.234  0.524
Tm  0.300  0.700  0.054
Tm  0.449  0.076  0.214
Tm  0.551  0.924  0.714
Tm  0.700  0.300  0.554
Tm  0.700  0.766  0.024
Tm  0.766  0.700  0.524
Tm  0.924  0.551  0.214
Tm  0.954  0.046  0.712
In  0.013  0.282  0.351
In  0.282  0.013  0.851
In  0.445  0.555  0.740
In  0.555  0.445  0.240
In  0.718  0.987  0.351
In  0.987  0.718  0.851


No. 9
TbErAlAu: optimized geometry, PBE.

Properties
* formation energy: -240 kJ/mol of formula units
* Fermi-level density of states: 1.842 states/eV/f.u.
* relative energy among the computed polymorphs: 0.00 eV per formula unit
* SG: P4mm
* uncorrected energy: -18.7 eV for the cell shown

a b c (Å): 3.550 3.550 7.434
angles (deg): 90.00 90.00 90.00
Atoms (fractional coordinates):
Tb  0.000  0.000  0.000
Er  0.000  0.000  0.487
Al  0.500  0.500  0.740
Au  0.500  0.500  0.258


No. 10
YSbTe2I: optimized geometry, PBE.

Properties
* Fermi-level density of states: 3.084 states/eV/f.u.
* relative energy among the computed polymorphs: 0.00 eV per formula unit
* SG: P4/mmm
* uncorrected energy: -19.2 eV for the cell shown

a b c (Å): 5.948 5.948 5.773
angles (deg): 90.00 90.00 90.00
Atoms (fractional coordinates):
Y  0.000  0.000  0.000
Sb  0.500  0.500  0.500
Te  0.000  0.500  0.000
Te  0.500  0.000  0.000
I  0.000  0.000  0.500


No. 11
PmCoPb: optimized geometry, PBE.

Properties
* formation energy: -29 kJ/mol of formula units
* Fermi-level density of states: 5.192 states/eV/f.u.
* relative energy among the computed polymorphs: 0.35 eV per formula unit
* SG: F-43m
* uncorrected energy: -15.9 eV for the cell shown

a b c (Å): 4.680 4.680 4.680
angles (deg): 60.00 60.00 60.00
Atoms (fractional coordinates):
Pm  0.000  0.000  0.000
Co  0.750  0.750  0.750
Pb  0.500  0.500  0.500


No. 12
EuGdNi: optimized geometry, PBE.

Properties
* formation energy: -14 kJ/mol of formula units
* Fermi-level density of states: 4.344 states/eV/f.u.
* relative energy among the computed polymorphs: 0.15 eV per formula unit
* SG: F-43m
* uncorrected energy: -30.3 eV for the cell shown

a b c (Å): 4.858 4.858 4.858
angles (deg): 60.00 60.00 60.00
Atoms (fractional coordinates):
Eu  0.000  0.000  0.000
Gd  0.500  0.500  0.500
Ni  0.250  0.250  0.250